This record from Alexandria via LeMat-Bulk describes a geometry-optimized Ca2CoAgF8 structure. The functional is PBE with a Hubbard U.

Cell and atoms, written as extended XYZ:
```
12
Lattice="5.025 0.000 0.000 -0.099 5.033 0.000 -0.002 -0.008 7.166" Properties=species:S:1:pos:R:3 pbc="T T T"
Ca 5.024 -0.001 1.738
Ca -0.100 5.026 5.427
Co 2.463 2.516 0.000
Ag 2.462 2.512 3.583
F 0.921 0.962 3.584
F 1.040 1.085 0.001
F 1.519 3.454 5.725
F 1.523 3.463 1.440
F 3.402 1.561 5.725
F 3.405 1.570 1.441
F 3.884 3.939 7.164
F 4.003 4.063 3.581
```

## Properties
* VASP energy: -5.0187 eV/atom
* space-group type: P-1 (2)
* size of the total moment: 4.02 μB per formula unit